No. 1
{"formula": "Sr2CdSnRu", "functional": "PBEsol", "state": "optimized geometry", "cell": [[5.963, 0.000, 0.000], [0.000, 5.963, 0.000], [0.000, 0.000, 5.026]], "species": ["Sr", "Sr", "Cd", "Sn", "Ru"], "fractional_positions": [[0.000, 0.500, 0.000], [0.500, 0.000, 0.000], [0.000, 0.000, 0.000], [0.000, 0.000, 0.500], [0.500, 0.500, 0.500]], "formation_enthalpy_0k_ev_per_fu": 4.9}

No. 2
{"formula": "Ta2CdRu", "functional": "PBEsol", "state": "optimized geometry", "cell": [[3.114, 0.000, 0.000], [0.000, 3.114, 0.000], [0.000, 0.000, 7.080]], "species": ["Ta", "Ta", "Cd", "Ru"], "fractional_positions": [[0.000, 0.000, 0.000], [0.500, 0.500, 0.269], [0.000, 0.000, 0.549], [0.500, 0.500, 0.808]], "formation_enthalpy_0k_ev_per_fu": 0.1}

no.,V (Å³ per atom)
1,35.744
2,17.168